Computed, not measured: an optimized crystal structure of Na2CuNiO4 at the PBE with a Hubbard U level of DFT.

extended XYZ file:
```
8
Lattice="-2.971 2.971 2.712 2.971 -2.971 2.712 2.971 2.971 -2.712" Properties=species:S:1:pos:R:3 pbc="T T T"
Na 2.971 0.000 0.000
Na 0.000 2.971 0.000
Cu 0.000 0.000 0.000
Ni 0.000 0.000 2.712
O 0.944 -0.944 1.381
O -0.944 0.944 1.381
O 2.027 2.027 1.331
O 0.944 0.944 4.043
```

Values from the calculation:
Symmetry: No. 121
N(E_F) (states/eV/cell): 1.57
Electronic total energy (eV per atom): -4.38